(1)
First-principles (PBE-GGA) data for Rb2Sb2PtRh after structural relaxation, as listed in Alexandria.

Output
- DFT total energy: -51.78 eV for the cell shown
- SG: Ibam
- Formation energy without anion corrections: -0.39 eV/atom

The structure in POSCAR format:
```
Rb2Sb2PtRh
1.0
-2.586 0.079 -6.282
-1.896 -6.417 0.699
-4.876 5.594 5.752
Rh Sb Pt Rb
2 4 2 4
direct
0.500 0.750 0.000
0.500 0.250 0.000
0.669 0.425 0.851
0.818 0.075 0.149
0.331 0.575 0.149
0.182 0.925 0.851
0.000 0.250 0.000
0.000 0.750 0.000
0.074 0.331 0.661
0.926 0.669 0.339
0.412 0.169 0.339
0.588 0.831 0.661
```


(2)
First-principles (PBE-GGA) data for Sc3TcO after structural relaxation, as listed in Alexandria.

Output
- DFT total energy: -161.16 eV for the cell shown
- SG: C2/c
- Energy relative to the lowest polymorph listed for this composition: 128 meV per atom
- Formation energy without anion corrections: -1.19 eV/atom

The structure in POSCAR format:
```
Sc3TcO
1.0
-2.916 12.703 1.706
-4.283 5.467 -4.321
-4.485 -6.758 -1.054
Sc O Tc
12 4 4
direct
0.621 0.610 0.542
0.863 0.755 0.740
0.637 0.240 0.255
0.121 0.958 0.890
0.363 0.760 0.745
0.879 0.042 0.110
0.872 0.424 0.405
0.128 0.576 0.595
0.379 0.390 0.458
0.137 0.245 0.260
0.628 0.905 0.924
0.372 0.095 0.076
0.313 0.283 0.566
0.687 0.717 0.434
0.187 0.066 0.783
0.813 0.934 0.217
0.750 0.471 0.971
0.250 0.529 0.029
0.250 0.816 0.316
0.750 0.184 0.684
```


Question: Which of these has the lowest DFT total energy?
Answer: Sc3TcO